--- w ---
Ca3TaBi: relaxed, GGA-PBE.

Computed properties:
volume = 206.10 Å³/cell
magnetic moment = 1.148 μB per atom
mass density = 4.1 Mg/m³

abc: 5.9069 5.9069 5.9069
angles: 90.00 90.00 90.00
Element x y z (fractional)
Ca  0.0000  0.0000  0.5000
Ca  0.0000  0.5000  0.0000
Ca  0.5000  0.0000  0.0000
Ta  0.5000  0.5000  0.5000
Bi  0.0000  0.0000  0.0000

--- x ---
Ca3TaBi: relaxed, GGA-PBE.

Computed properties:
volume = 174.61 Å³/cell
magnetic moment = 0.000 μB per atom
mass density = 4.9 Mg/m³

abc: 5.5893 5.5893 5.5893
angles: 90.00 90.00 90.00
Element x y z (fractional)
Ca  0.0000  0.0000  0.5000
Ca  0.0000  0.5000  0.0000
Ca  0.5000  0.0000  0.0000
Ta  0.0000  0.0000  0.0000
Bi  0.5000  0.5000  0.5000

The energetic minimum among the shown structures is w; the next structure lies 2.5 kJ/mol of atoms above.